The following is a DFT calculation (GGA-PBE) of a relaxed K2ZrRe crystal.

abc: 4.0288 4.0288 12.5919
angles: 90.00 90.00 90.00
Element x y z (fractional)
K1 0.0000 0.5000 0.2500
K2 0.0000 0.5000 0.7500
K3 0.5000 0.0000 0.2500
K4 0.5000 0.0000 0.7500
Zr1 0.0000 0.0000 0.0000
Zr2 0.5000 0.5000 0.5000
Re1 0.0000 0.0000 0.5000
Re2 0.5000 0.5000 0.0000

## Properties
Its crystal system is tetragonal. The formation energy comes out at 1.25 eV per atom. As for the space group: I4/mmm.


The following is a DFT calculation (GGA-PBE) of a relaxed TbTm5Zn4 crystal.

abc: 3.5226 3.5226 19.1829
angles: 90.00 90.00 90.00
Element x y z (fractional)
Tb1 0.0000 0.0000 0.0000
Tm1 0.5000 0.5000 0.1334
Tm2 0.5000 0.5000 0.3167
Tm3 0.5000 0.5000 0.5000
Tm4 0.5000 0.5000 0.6833
Tm5 0.5000 0.5000 0.8666
Zn1 0.0000 0.0000 0.2245
Zn2 0.0000 0.0000 0.4069
Zn3 0.0000 0.0000 0.5931
Zn4 0.0000 0.0000 0.7755

## Properties
Its crystal system is tetragonal. The formation energy comes out at -0.27 eV per atom. As for the space group: P4/mmm.


The following is a DFT calculation (GGA-PBE) of a relaxed KHCl3 crystal.

abc: 4.6786 4.6786 4.6786
angles: 90.00 90.00 90.00
Element x y z (fractional)
K1 0.0000 0.0000 0.0000
H1 0.5000 0.5000 0.5000
Cl1 0.0000 0.5000 0.5000
Cl2 0.5000 0.0000 0.5000
Cl3 0.5000 0.5000 0.0000

## Properties
Its crystal system is cubic. As for the space group: Pm-3m.


The following is a DFT calculation (GGA-PBE) of a relaxed Tl2As crystal.

abc: 7.1913 7.1913 7.1913
angles: 90.00 90.00 90.00
Element x y z (fractional)
Tl1 0.1245 0.1245 0.1245
Tl2 0.1245 0.3755 0.6245
Tl3 0.3755 0.6245 0.1245
Tl4 0.3755 0.8755 0.6245
Tl5 0.6245 0.1245 0.3755
Tl6 0.6245 0.3755 0.8755
Tl7 0.8755 0.6245 0.3755
Tl8 0.8755 0.8755 0.8755
As1 0.0000 0.0000 0.5000
As2 0.0000 0.5000 0.0000
As3 0.5000 0.0000 0.0000
As4 0.5000 0.5000 0.5000

## Properties
Its crystal system is cubic. The formation energy comes out at 0.10 eV per atom. As for the space group: Pa-3.


The following is a DFT calculation (GGA-PBE) of a relaxed Ca4MgIr crystal.

abc: 6.1993 6.1993 6.1993
angles: 60.00 60.00 60.00
Element x y z (fractional)
Ca1 0.1236 0.1236 0.1236
Ca2 0.1236 0.1236 0.6291
Ca3 0.1236 0.6291 0.1236
Ca4 0.6291 0.1236 0.1236
Mg1 0.5000 0.5000 0.5000
Ir1 0.7500 0.7500 0.7500

## Properties
Its crystal system is cubic. The formation energy comes out at 0.66 eV per atom. As for the space group: F-43m.


The following is a DFT calculation (GGA-PBE) of a relaxed BaAg2PtF8 crystal.

abc: 5.4049 5.4049 7.6958
angles: 90.00 90.00 120.00
Element x y z (fractional)
Ba1 0.0000 0.0000 0.0000
Ag1 0.3333 0.6667 0.3293
Ag2 0.6667 0.3333 0.6707
Pt1 0.0000 0.0000 0.5000
F1 0.1635 0.3270 0.6615
F2 0.1635 0.8365 0.6615
F3 0.3270 0.1635 0.3385
F4 0.3333 0.6667 0.0412
F5 0.6667 0.3333 0.9588
F6 0.6730 0.8365 0.6615
F7 0.8365 0.1635 0.3385
F8 0.8365 0.6730 0.3385

## Properties
As for the formation energy without anion corrections: -1.784 eV per atom. Its crystal system is trigonal. As for the space group: P-3m1.


no.,total energy (eV per atom)
1,-4.547
2,-3.483
3,-2.317
4,-3.025
5,-2.421
6,-4.170